No. 1
Here is a relaxed Al4Pd5Pt4 crystal from Alexandria. Energies are from PBE.

Values from the calculation:
For the formation energy, the calculation gives -0.774 eV per atom. The value obtained for the calculated total energy is -5.78 eV per atom. As for the density of states at the Fermi level: 0.412 states/eV/atom.

Geometry as CIF:
```
data_Al4Pd5Pt4
_cell_length_a 7.170
_cell_length_b 7.170
_cell_length_c 7.170
_cell_angle_alpha 94.68
_cell_angle_beta 94.68
_cell_angle_gamma 146.81
_space_group_name_H-M_alt 'P 1'
_space_group_IT_number 1
loop_
_space_group_symop_operation_xyz
'x,y,z'
loop_
_atom_site_label
_atom_site_type_symbol
_atom_site_fract_x
_atom_site_fract_y
_atom_site_fract_z
Al1 Al 0.116 0.763 0.879
Al2 Al 0.237 0.116 0.353
Al3 Al 0.763 0.884 0.647
Al4 Al 0.884 0.237 0.121
Pd1 Pd 0.000 0.000 0.000
Pd2 Pd 0.317 0.592 0.908
Pd3 Pd 0.408 0.317 0.725
Pd4 Pd 0.592 0.683 0.275
Pd5 Pd 0.683 0.408 0.092
Pt1 Pt 0.105 0.388 0.493
Pt2 Pt 0.388 0.895 0.283
Pt3 Pt 0.612 0.105 0.717
Pt4 Pt 0.895 0.612 0.507
```

---

No. 2
Here is a relaxed Al5PdPt2 crystal from Alexandria. Energies are from PBE.

Values from the calculation:
For the formation energy, the calculation gives -0.708 eV per atom. The value obtained for the calculated total energy is -5.21 eV per atom. As for the density of states at the Fermi level: 0.351 states/eV/atom.

Geometry as CIF:
```
data_Al5PdPt2
_cell_length_a 12.638
_cell_length_b 5.789
_cell_length_c 7.069
_cell_angle_alpha 90.00
_cell_angle_beta 90.00
_cell_angle_gamma 90.00
_space_group_name_H-M_alt 'P 1'
_space_group_IT_number 1
loop_
_space_group_symop_operation_xyz
'x,y,z'
loop_
_atom_site_label
_atom_site_type_symbol
_atom_site_fract_x
_atom_site_fract_y
_atom_site_fract_z
Al1 Al 0.003 0.250 0.075
Al2 Al 0.133 0.514 0.331
Al3 Al 0.133 0.986 0.331
Al4 Al 0.174 0.250 0.663
Al5 Al 0.191 0.750 0.670
Al6 Al 0.309 0.250 0.170
Al7 Al 0.326 0.750 0.163
Al8 Al 0.367 0.014 0.831
Al9 Al 0.367 0.486 0.831
Al10 Al 0.497 0.750 0.575
Al11 Al 0.503 0.250 0.425
Al12 Al 0.633 0.514 0.169
Al13 Al 0.633 0.986 0.169
Al14 Al 0.674 0.250 0.837
Al15 Al 0.691 0.750 0.830
Al16 Al 0.809 0.250 0.330
Al17 Al 0.826 0.750 0.337
Al18 Al 0.867 0.014 0.669
Al19 Al 0.867 0.486 0.669
Al20 Al 0.997 0.750 0.925
Pd1 Pd 0.004 0.750 0.539
Pd2 Pd 0.496 0.250 0.039
Pd3 Pd 0.504 0.750 0.961
Pd4 Pd 0.996 0.250 0.461
Pt1 Pt 0.170 0.000 0.975
Pt2 Pt 0.170 0.500 0.975
Pt3 Pt 0.330 0.000 0.475
Pt4 Pt 0.330 0.500 0.475
Pt5 Pt 0.670 0.000 0.525
Pt6 Pt 0.670 0.500 0.525
Pt7 Pt 0.830 0.000 0.025
Pt8 Pt 0.830 0.500 0.025
```

---

No. 3
Here is a relaxed Al6Pd5Pt crystal from Alexandria. Energies are from PBE.

Values from the calculation:
For the formation energy, the calculation gives -0.893 eV per atom. The value obtained for the calculated total energy is -5.43 eV per atom. As for the density of states at the Fermi level: 0.315 states/eV/atom.

Geometry as CIF:
```
data_Al6Pd5Pt
_cell_length_a 7.513
_cell_length_b 7.513
_cell_length_c 7.513
_cell_angle_alpha 146.49
_cell_angle_beta 131.06
_cell_angle_gamma 60.62
_space_group_name_H-M_alt 'P 1'
_space_group_IT_number 1
loop_
_space_group_symop_operation_xyz
'x,y,z'
loop_
_atom_site_label
_atom_site_type_symbol
_atom_site_fract_x
_atom_site_fract_y
_atom_site_fract_z
Al1 Al 0.083 0.333 0.749
Al2 Al 0.248 0.000 0.248
Al3 Al 0.416 0.667 0.749
Al4 Al 0.584 0.333 0.251
Al5 Al 0.752 0.000 0.752
Al6 Al 0.917 0.667 0.251
Pd1 Pd 0.169 0.169 0.000
Pd2 Pd 0.335 0.835 0.500
Pd3 Pd 0.500 0.500 0.000
Pd4 Pd 0.665 0.165 0.500
Pd5 Pd 0.831 0.831 0.000
Pt1 Pt 0.000 0.500 0.500
```

---

No. 4
Here is a relaxed SmAl4PdPt2 crystal from Alexandria. Energies are from PBE.

Values from the calculation:
For the formation energy, the calculation gives -0.891 eV per atom. The value obtained for the calculated total energy is -5.51 eV per atom. As for the density of states at the Fermi level: 0.514 states/eV/atom.

Geometry as CIF:
```
data_SmAl4PdPt2
_cell_length_a 9.224
_cell_length_b 9.224
_cell_length_c 9.224
_cell_angle_alpha 26.86
_cell_angle_beta 26.86
_cell_angle_gamma 26.86
_space_group_name_H-M_alt 'P 1'
_space_group_IT_number 1
loop_
_space_group_symop_operation_xyz
'x,y,z'
loop_
_atom_site_label
_atom_site_type_symbol
_atom_site_fract_x
_atom_site_fract_y
_atom_site_fract_z
Sm1 Sm 0.000 0.000 0.000
Al1 Al 0.133 0.133 0.133
Al2 Al 0.403 0.403 0.403
Al3 Al 0.597 0.597 0.597
Al4 Al 0.867 0.867 0.867
Pd1 Pd 0.500 0.500 0.500
Pt1 Pt 0.237 0.237 0.237
Pt2 Pt 0.763 0.763 0.763
```

---

No. 5
Here is a relaxed SmAl4Pd2Pt crystal from Alexandria. Energies are from PBE.

Values from the calculation:
For the formation energy, the calculation gives -0.807 eV per atom. The value obtained for the calculated total energy is -5.32 eV per atom. As for the density of states at the Fermi level: 0.467 states/eV/atom.

Geometry as CIF:
```
data_SmAl4Pd2Pt
_cell_length_a 9.276
_cell_length_b 9.276
_cell_length_c 9.276
_cell_angle_alpha 26.74
_cell_angle_beta 26.74
_cell_angle_gamma 26.74
_space_group_name_H-M_alt 'P 1'
_space_group_IT_number 1
loop_
_space_group_symop_operation_xyz
'x,y,z'
loop_
_atom_site_label
_atom_site_type_symbol
_atom_site_fract_x
_atom_site_fract_y
_atom_site_fract_z
Sm1 Sm 0.000 0.000 0.000
Al1 Al 0.133 0.133 0.133
Al2 Al 0.403 0.403 0.403
Al3 Al 0.597 0.597 0.597
Al4 Al 0.867 0.867 0.867
Pd1 Pd 0.239 0.239 0.239
Pd2 Pd 0.761 0.761 0.761
Pt1 Pt 0.500 0.500 0.500
```

---

No. 6
Here is a relaxed SmAl2Pd2Pt crystal from Alexandria. Energies are from PBE.

Values from the calculation:
For the formation energy, the calculation gives -0.656 eV per atom. The value obtained for the calculated total energy is -5.43 eV per atom. As for the density of states at the Fermi level: 0.443 states/eV/atom.

Geometry as CIF:
```
data_SmAl2Pd2Pt
_cell_length_a 4.682
_cell_length_b 4.682
_cell_length_c 5.604
_cell_angle_alpha 90.00
_cell_angle_beta 90.00
_cell_angle_gamma 90.00
_space_group_name_H-M_alt 'P 1'
_space_group_IT_number 1
loop_
_space_group_symop_operation_xyz
'x,y,z'
loop_
_atom_site_label
_atom_site_type_symbol
_atom_site_fract_x
_atom_site_fract_y
_atom_site_fract_z
Sm1 Sm 0.000 0.000 0.000
Al1 Al 0.000 0.500 0.500
Al2 Al 0.500 0.000 0.500
Pd1 Pd 0.500 0.500 0.245
Pd2 Pd 0.500 0.500 0.755
Pt1 Pt 0.000 0.000 0.500
```